Entry 1:
Density functional theory data (PBE) for a relaxed KCaTeN2 crystal.

Structure (POSCAR):
```
KCaTeN2
1.0
4.9558 0.0000 0.0000
0.0000 4.9558 0.0000
0.0000 0.0000 6.2228
K Ca Te N
1 1 1 2
direct
0.0000 0.0000 0.0000 K
0.5000 0.5000 0.5000 Ca
0.5000 0.5000 0.0000 Te
0.0000 0.5000 0.5000 N
0.5000 0.0000 0.5000 N
```

Calculated values
- ΔE_f (raw) (eV/atom) = 0.7664
- energy relative to the lowest polymorph listed for this composition (meV/atom) = 0.0


Entry 2:
Density functional theory data (PBE) for a relaxed KLiZrSe3 crystal.

Structure (POSCAR):
```
KLiZrSe3
1.0
8.9518 0.0000 0.0000
0.0000 3.9972 0.0000
-3.0987 0.0000 8.9876
K Li Zr Se
2 2 2 6
direct
0.2139 0.2500 0.2551 K
0.7861 0.7500 0.7449 K
0.0777 0.2500 0.6003 Li
0.9223 0.7500 0.3997 Li
0.3222 0.7500 0.8407 Zr
0.6778 0.2500 0.1593 Zr
0.1295 0.2500 0.8746 Se
0.2210 0.7500 0.5492 Se
0.4629 0.7500 0.1521 Se
0.5371 0.2500 0.8479 Se
0.7790 0.2500 0.4508 Se
0.8705 0.7500 0.1254 Se
```

Calculated values
- ΔE_f (raw) (eV/atom) = -1.3457


Entry 3:
Density functional theory data (PBE) for a relaxed La12NdCo7 crystal.

Structure (POSCAR):
```
La12NdCo7
1.0
7.1721 4.1408 3.2735
-7.1721 4.1408 3.2735
0.0000 -8.2816 3.2735
La Nd Co
12 1 7
direct
0.0483 0.3429 0.1233 La
0.1233 0.0483 0.3429 La
0.1853 0.7216 0.5754 La
0.2784 0.4246 0.8147 La
0.3429 0.1233 0.0483 La
0.4246 0.8147 0.2784 La
0.5754 0.1853 0.7216 La
0.6571 0.8767 0.9517 La
0.7216 0.5754 0.1853 La
0.8147 0.2784 0.4246 La
0.8767 0.9517 0.6571 La
0.9517 0.6571 0.8767 La
0.5000 0.5000 0.5000 Nd
0.0000 0.0000 0.0000 Co
0.1379 0.3712 0.4756 Co
0.3712 0.4756 0.1379 Co
0.4756 0.1379 0.3712 Co
0.5244 0.8621 0.6288 Co
0.6288 0.5244 0.8621 Co
0.8621 0.6288 0.5244 Co
```

Calculated values
- calculated formation energy (eV per formula unit) = -1.805


Entry 4:
Density functional theory data (PBE) for a relaxed ClF crystal.

Structure (POSCAR):
```
ClF
1.0
7.1126 -1.2780 0.0000
7.1126 1.2780 0.0000
-0.3354 0.0000 3.8677
Cl F
2 2
direct
0.1237 0.1237 0.2951 Cl
0.8763 0.8763 0.7049 Cl
0.3763 0.3763 0.2043 F
0.6237 0.6237 0.7957 F
```

Calculated values
- ΔE_f (raw) (eV/atom) = 0.1956
- energy relative to the lowest polymorph listed for this composition (meV/atom) = 604.9


Entry 5:
Density functional theory data (PBE) for a relaxed V6GeH6 crystal.

Structure (POSCAR):
```
V6GeH6
1.0
4.4053 0.0000 0.0000
-2.2027 3.8151 0.0000
0.0000 0.0000 7.0695
V Ge H
6 1 6
direct
0.0000 0.0000 0.1656 V
0.0000 0.0000 0.8344 V
0.3333 0.6667 0.0000 V
0.3333 0.6667 0.5000 V
0.6667 0.3333 0.0000 V
0.6667 0.3333 0.5000 V
0.0000 0.0000 0.5000 Ge
0.0000 0.5000 0.1927 H
0.0000 0.5000 0.8073 H
0.5000 0.0000 0.1927 H
0.5000 0.0000 0.8073 H
0.5000 0.5000 0.1927 H
0.5000 0.5000 0.8073 H
```

Calculated values
- uncorrected energy (eV for the cell shown) = -78.26


Entry 6:
Density functional theory data (PBE) for a relaxed LiPaP2Rh5 crystal.

Structure (POSCAR):
```
LiPaP2Rh5
1.0
4.0281 0.0000 0.0000
0.0000 4.0281 0.0000
0.0000 0.0000 9.3686
Li Pa P Rh
1 1 2 5
direct
0.0000 0.0000 0.0000 Li
0.0000 0.0000 0.5000 Pa
0.5000 0.5000 0.2583 P
0.5000 0.5000 0.7417 P
0.0000 0.5000 0.1535 Rh
0.0000 0.5000 0.8465 Rh
0.5000 0.0000 0.1535 Rh
0.5000 0.0000 0.8465 Rh
0.5000 0.5000 0.5000 Rh
```

Calculated values
- calculated formation energy (eV per formula unit) = -3.899


Number 1: size of the total moment 5.0 μB per formula unit. Number 2: size of the total moment 0.0 μB per formula unit. Number 3: size of the total moment 0.0 μB per formula unit. Number 4: size of the total moment 0.0 μB per formula unit. Number 5: size of the total moment 1.7 μB per formula unit. Number 6: size of the total moment 0.6 μB per formula unit.